No. 1
4
Lattice="-0.395 3.238 -0.823 -2.183 0.377 2.531 5.585 1.837 4.544" Properties=species:S:1:pos:R:3 comment="NaUPt2 PBE optimized geometry" delta_e_f_ev_per_atom=-0.46 vol_a3_per_atom=21.02 dft_energy_ev_per_atom=-6.635 magmom_total_mub_per_cell=1.9 dos_at_fermi_per_ev_fu=4.42 pbc="T T T"
Na 1.503 2.726 3.126
U -1.289 1.807 0.854
Pt 4.345 1.429 3.536
Pt 1.240 0.408 1.009


No. 2
15
Lattice="-6.091 5.220 4.524 -7.086 -3.934 4.373 -0.495 -0.091 8.813" Properties=species:S:1:pos:R:3 comment="Pr8NdDy6 PBE optimized geometry" delta_e_f_ev_per_atom=0.12 vol_a3_per_atom=34.50 relative_energy_ev_per_atom=0.000 dft_energy_ev_per_atom=-4.583 magmom_total_mub_per_cell=0.0 dos_at_fermi_per_ev_fu=22.19 pbc="T T T"
Pr -7.701 3.456 10.373
Pr -5.590 3.439 7.590
Pr -9.893 0.741 10.218
Pr -5.922 0.476 10.225
Pr -7.749 0.720 7.485
Pr -3.779 0.455 7.492
Pr -8.081 -2.243 10.120
Pr -5.970 -2.261 7.337
Nd 0.000 0.000 0.000
Dy -4.446 -1.623 3.811
Dy -11.409 0.276 15.129
Dy -8.569 -0.612 13.156
Dy -5.103 1.807 4.553
Dy -2.262 0.920 2.581
Dy -9.225 2.818 13.899


No. 3
8
Lattice="7.992 0.000 0.000 0.000 7.992 0.000 3.996 3.996 2.688" Properties=species:S:1:pos:R:3 comment="NaIn2H PBE optimized geometry" vol_a3_per_atom=21.46 relative_energy_ev_per_atom=0.000 dft_energy_ev_per_atom=-2.374 magmom_total_mub_per_cell=0.0 dos_at_fermi_per_ev_fu=1.42 pbc="T T T"
Na 0.000 0.000 0.000
Na 7.992 3.996 1.344
H 3.996 3.996 0.000
H 3.996 7.992 1.344
In 5.215 1.998 0.672
In 2.777 5.994 0.672
In 5.994 6.773 2.016
In 9.990 9.211 2.016